No. 1
The following is a PBE calculation of a relaxed Dy12Co6Si crystal, from the Alexandria database. Values from VASP.

Geometry as Quantum ESPRESSO input:
```
&SYSTEM
  ibrav = 0, nat = 19, ntyp = 3
/
ATOMIC_SPECIES
Co 58.93 Co.upf
Dy 162.50 Dy.upf
Si 28.09 Si.upf
CELL_PARAMETERS angstrom
-4.638 4.186 5.452
-4.715 -5.566 -3.942
6.123 -3.904 4.003
ATOMIC_POSITIONS crystal
Co 0.500 0.114 0.614
Co 0.386 0.500 0.886
Co 0.614 0.500 0.114
Co 0.500 0.886 0.386
Co 0.886 0.386 0.500
Co 0.114 0.614 0.500
Dy 0.893 0.194 0.700
Dy 0.700 0.893 0.194
Dy 0.300 0.494 0.194
Dy 0.194 0.700 0.893
Dy 0.194 0.300 0.494
Dy 0.107 0.806 0.300
Dy 0.300 0.107 0.806
Dy 0.700 0.506 0.806
Dy 0.494 0.194 0.300
Dy 0.506 0.806 0.700
Dy 0.806 0.700 0.506
Dy 0.806 0.300 0.107
Si 0.000 0.000 0.000
```

Results
As for the crystal system: cubic. The value obtained for the total magnetic moment is 0.00 Bohr magnetons per cell. For the raw formation energy, the calculation gives -0.24 eV per atom. Its space group is Im-3, No. 204.

***

No. 2
The following is a PBE calculation of a relaxed Dy4CoSi3 crystal, from the Alexandria database. Values from VASP.

Geometry as Quantum ESPRESSO input:
```
&SYSTEM
  ibrav = 0, nat = 8, ntyp = 3
/
ATOMIC_SPECIES
Dy 162.50 Dy.upf
Si 28.09 Si.upf
Co 58.93 Co.upf
CELL_PARAMETERS angstrom
-0.274 3.596 -2.167
-3.752 0.177 0.768
2.063 5.473 8.822
ATOMIC_POSITIONS crystal
Dy 0.000 0.500 0.862
Dy 0.000 0.000 0.136
Dy 0.500 0.500 0.353
Dy 0.500 0.000 0.644
Si 0.500 0.000 0.933
Si 0.000 0.500 0.575
Si 0.000 0.000 0.430
Co 0.500 0.500 0.068
```

Results
As for the crystal system: orthorhombic. The value obtained for the total magnetic moment is 0.00 Bohr magnetons per cell. For the raw formation energy, the calculation gives -0.67 eV per atom. Its space group is Pmm2, No. 25.

***

No. 3
The following is a PBE calculation of a relaxed Dy2Co5Si4 crystal, from the Alexandria database. Values from VASP.

Geometry as Quantum ESPRESSO input:
```
&SYSTEM
  ibrav = 0, nat = 11, ntyp = 3
/
ATOMIC_SPECIES
Si 28.09 Si.upf
Dy 162.50 Dy.upf
Co 58.93 Co.upf
CELL_PARAMETERS angstrom
-1.301 4.464 2.573
-3.800 3.140 -1.880
-5.128 -1.091 4.789
ATOMIC_POSITIONS crystal
Si 0.215 0.307 0.263
Si 0.785 0.693 0.737
Si 0.478 0.307 0.737
Si 0.522 0.693 0.263
Dy 0.868 0.000 0.264
Dy 0.132 0.000 0.736
Co 0.500 0.000 0.000
Co 0.250 0.500 0.500
Co 0.000 0.500 0.000
Co 0.750 0.500 0.500
Co 0.500 0.500 0.000
```

Results
As for the crystal system: orthorhombic. The value obtained for the total magnetic moment is 0.00 Bohr magnetons per cell. For the raw formation energy, the calculation gives -0.69 eV per atom. Its space group is Fmmm, No. 69.

***

No. 4
The following is a PBE calculation of a relaxed DyCo5Si2 crystal, from the Alexandria database. Values from VASP.

Geometry as Quantum ESPRESSO input:
```
&SYSTEM
  ibrav = 0, nat = 8, ntyp = 3
/
ATOMIC_SPECIES
Si 28.09 Si.upf
Co 58.93 Co.upf
Dy 162.50 Dy.upf
CELL_PARAMETERS angstrom
-2.628 -2.436 -0.076
1.064 -3.646 -4.445
2.237 -5.105 1.766
ATOMIC_POSITIONS crystal
Si 0.755 0.745 0.745
Si 0.245 0.255 0.255
Co 0.642 0.546 0.170
Co 0.642 0.170 0.546
Co 0.358 0.454 0.830
Co 0.358 0.830 0.454
Co 0.000 0.500 0.500
Dy 0.000 0.000 0.000
```

Results
As for the crystal system: orthorhombic. The value obtained for the total magnetic moment is 2.75 Bohr magnetons per cell. For the raw formation energy, the calculation gives -0.43 eV per atom. Its space group is Immm, No. 71.

***

No. 5
The following is a PBE calculation of a relaxed DyCo3Si3 crystal, from the Alexandria database. Values from VASP.

Geometry as Quantum ESPRESSO input:
```
&SYSTEM
  ibrav = 0, nat = 14, ntyp = 3
/
ATOMIC_SPECIES
Dy 162.50 Dy.upf
Co 58.93 Co.upf
Si 28.09 Si.upf
CELL_PARAMETERS angstrom
6.163 0.000 0.000
0.000 6.163 0.000
0.000 0.000 6.163
ATOMIC_POSITIONS crystal
Dy 0.500 0.500 0.500
Dy 0.000 0.000 0.000
Co 0.500 0.250 0.000
Co 0.750 0.000 0.500
Co 0.000 0.500 0.250
Co 0.500 0.750 0.000
Co 0.250 0.000 0.500
Co 0.000 0.500 0.750
Si 0.000 0.750 0.500
Si 0.750 0.500 0.000
Si 0.500 0.000 0.750
Si 0.500 0.000 0.250
Si 0.000 0.250 0.500
Si 0.250 0.500 0.000
```

Results
As for the crystal system: cubic. The value obtained for the total magnetic moment is 0.00 Bohr magnetons per cell. The relative energy among the computed polymorphs comes out at 170 meV per atom. For the raw formation energy, the calculation gives -0.17 eV per atom. Its space group is Pm-3n, No. 223.

***

No. 6
The following is a PBE calculation of a relaxed DyCoSi2 crystal, from the Alexandria database. Values from VASP.

Geometry as Quantum ESPRESSO input:
```
&SYSTEM
  ibrav = 0, nat = 8, ntyp = 3
/
ATOMIC_SPECIES
Si 28.09 Si.upf
Co 58.93 Co.upf
Dy 162.50 Dy.upf
CELL_PARAMETERS angstrom
3.977 0.000 0.000
0.000 4.012 -0.148
0.000 -1.705 8.208
ATOMIC_POSITIONS crystal
Si 0.250 0.458 0.916
Si 0.750 0.251 0.500
Si 0.750 0.542 0.084
Si 0.250 0.749 0.500
Co 0.750 0.680 0.357
Co 0.250 0.320 0.643
Dy 0.750 0.892 0.784
Dy 0.250 0.108 0.216
```

Results
As for the crystal system: monoclinic. The value obtained for the total magnetic moment is 0.00 Bohr magnetons per cell. For the raw formation energy, the calculation gives -0.79 eV per atom. Its space group is P2_1/m, No. 11.

***

Which formula does entry 5 have?
DyCo3Si3

***

Which formula does entry 3 have?
Dy2Co5Si4

***

Which formula does entry 3 have?
Dy2Co5Si4